Record 1
An optimized crystal structure of ReIr. Source: Alexandria via LeMat-Bulk, functional GGA-PBEsol.

Geometry as extended XYZ:
```
4
Lattice="2.742 0.000 0.000 0.000 4.340 0.000 0.000 0.000 4.780" Properties=species:S:1:pos:R:3 pbc="T T T"
Re 0.685 1.085 0.426
Re 2.056 3.255 4.354
Ir 0.685 3.255 2.009
Ir 2.056 1.085 2.771
```

Calculated values
The calculation puts the total moment at 0.00 μB/f.u. The value obtained for the offset from the most stable computed form is 92.6 meV per atom. The value obtained for the formation energy from the elements is -0.200 eV per atom. The calculation puts the density of states at the Fermi level at 2.1 states/eV/cell.

***

Record 2
An optimized crystal structure of ReIrRh2. Source: Alexandria via LeMat-Bulk, functional GGA-PBEsol.

Geometry as extended XYZ:
```
4
Lattice="4.482 -1.342 0.000 4.482 1.342 0.000 -0.803 0.000 4.601" Properties=species:S:1:pos:R:3 pbc="T T T"
Re 0.000 0.000 0.000
Ir 4.081 0.000 2.301
Rh 1.644 0.000 3.462
Rh 6.517 0.000 1.139
```

Calculated values
The calculation puts the total moment at 0.00 μB/f.u. The value obtained for the offset from the most stable computed form is 33.4 meV per atom. The value obtained for the formation energy from the elements is -0.084 eV per atom. The calculation puts the density of states at the Fermi level at 4.2 states/eV/cell.

***

Record 3
An optimized crystal structure of ReIrRh2. Source: Alexandria via LeMat-Bulk, functional GGA-PBEsol.

Geometry as extended XYZ:
```
4
Lattice="-1.912 1.912 3.782 1.912 -1.912 3.782 1.912 1.912 -3.782" Properties=species:S:1:pos:R:3 pbc="T T T"
Re 0.000 0.000 0.000
Ir 0.000 1.912 1.891
Rh 1.912 0.000 1.891
Rh 0.000 0.000 3.782
```

Calculated values
The calculation puts the total moment at 0.00 μB/f.u. The value obtained for the offset from the most stable computed form is 23.1 meV per atom. The value obtained for the formation energy from the elements is -0.094 eV per atom. The calculation puts the density of states at the Fermi level at 4.7 states/eV/cell.